# 1
Density functional theory data (SCAN) for a crystal of MgTiF5 relaxed with PBEsol.

Calculated values
As for the uncorrected formation energy: -25.40 eV per formula unit.

abc: 8.5023 6.2579 7.3290
angles: 90.00 115.58 90.00
Space group C2/c (No. 15)
Unique sites:
1 Mg 0.0000 0.0281 0.2500 (multiplicity 4)
2 Ti 0.0000 0.5000 0.0000 (multiplicity 4)
3 F 0.0000 0.3636 0.2500 (multiplicity 4)
4 F 0.0177 0.1912 0.9532 (multiplicity 8)
5 F 0.2460 0.4682 0.6333 (multiplicity 8)

# 2
Density functional theory data (SCAN) for a crystal of CuSi2 relaxed with PBEsol.

Calculated values
The density of states at the Fermi level is 2.5 states/eV/cell. As for the uncorrected formation energy: 1.32 eV per formula unit.

abc: 3.3334 3.3334 7.3069
angles: 90.00 90.00 90.00
Space group I4/mmm (No. 139)
Unique sites:
1 Cu 0.0000 0.0000 0.0000 (multiplicity 2)
2 Si 0.0000 0.0000 0.3287 (multiplicity 4)

# 3
Density functional theory data (SCAN) for a crystal of Sc2WAu relaxed with PBEsol.

Calculated values
The density of states at the Fermi level is 3.3 states/eV/cell. The value obtained for the formation energy is 0.0402 eV per atom.

abc: 3.5865 3.5865 5.7729
angles: 90.00 90.00 90.00
Space group P4mm (No. 99)
Unique sites:
1 Sc 0.0000 0.0000 0.0000 (multiplicity 1)
2 Sc 0.5000 0.5000 0.3066 (multiplicity 1)
3 W 0.0000 0.0000 0.5073 (multiplicity 1)
4 Au 0.5000 0.5000 0.7846 (multiplicity 1)